No. 1
# HfCo3B2 SCAN single point on PBEsol structure
# ΔE_f, eV per atom: -0.527
# Crystal system: hexagonal
# Energy above the most stable polymorph in this dataset, eV per atom: 0.012
# Fermi-level density of states, states/eV per cell: 1.58
data_HfCo3B2
_cell_length_a 4.7660
_cell_length_b 4.7660
_cell_length_c 3.0177
_cell_angle_alpha 90.00
_cell_angle_beta 90.00
_cell_angle_gamma 120.00
_symmetry_space_group_name_H-M 'P 6/m m m'
_symmetry_Int_Tables_number 191
_symmetry_space_group_name_Hall '-P 6 2'
loop_
_atom_site_label
_atom_site_fract_x
_atom_site_fract_y
_atom_site_fract_z
Hf1 0.0000 0.0000 0.0000
Co1 0.0000 0.5000 0.5000
B1 0.3333 0.6667 0.0000

***

No. 2
# GaP3W SCAN single point on PBEsol structure
# ΔE_f, eV per atom: 0.573
# Crystal system: cubic
# Fermi-level density of states, states/eV per cell: 3.64
data_GaP3W
_cell_length_a 4.6878
_cell_length_b 4.6878
_cell_length_c 4.6878
_cell_angle_alpha 90.00
_cell_angle_beta 90.00
_cell_angle_gamma 90.00
_symmetry_space_group_name_H-M 'P m -3 m'
_symmetry_Int_Tables_number 221
_symmetry_space_group_name_Hall '-P 4 2 3'
loop_
_atom_site_label
_atom_site_fract_x
_atom_site_fract_y
_atom_site_fract_z
Ga1 0.0000 0.0000 0.0000
P1 0.0000 0.5000 0.5000
W1 0.5000 0.5000 0.5000

***

No. 3
# Ba2NiAu SCAN single point on PBEsol structure
# ΔE_f, eV per atom: -0.172
# Crystal system: tetragonal
# Fermi-level density of states, states/eV per cell: 2.09
data_Ba2NiAu
_cell_length_a 4.5290
_cell_length_b 4.5290
_cell_length_c 6.3902
_cell_angle_alpha 90.00
_cell_angle_beta 90.00
_cell_angle_gamma 90.00
_symmetry_space_group_name_H-M 'P 4 m m'
_symmetry_Int_Tables_number 99
_symmetry_space_group_name_Hall 'P 4 -2'
loop_
_atom_site_label
_atom_site_fract_x
_atom_site_fract_y
_atom_site_fract_z
Ba1 0.0000 0.0000 0.0000
Ba2 0.5000 0.5000 0.4991
Ni1 0.0000 0.0000 0.5022
Au1 0.5000 0.5000 0.9986

***

No. 4
# CaSb SCAN single point on PBEsol structure
# Crystal system: cubic
# Formation energy (no corrections), meV/atom: -816
# Fermi-level density of states, states/eV per cell: 1.58
data_CaSb
_cell_length_a 3.8239
_cell_length_b 3.8239
_cell_length_c 3.8239
_cell_angle_alpha 90.00
_cell_angle_beta 90.00
_cell_angle_gamma 90.00
_symmetry_space_group_name_H-M 'P m -3 m'
_symmetry_Int_Tables_number 221
_symmetry_space_group_name_Hall '-P 4 2 3'
loop_
_atom_site_label
_atom_site_fract_x
_atom_site_fract_y
_atom_site_fract_z
Ca1 0.0000 0.0000 0.0000
Sb1 0.5000 0.5000 0.5000

***

No. 5
# MnAlPS2 SCAN single point on PBEsol structure
# Crystal system: tetragonal
# Formation energy (no corrections), meV/atom: 243
# Fermi-level density of states, states/eV per cell: 3.05
data_MnAlPS2
_cell_length_a 4.5272
_cell_length_b 4.5272
_cell_length_c 4.3008
_cell_angle_alpha 90.00
_cell_angle_beta 90.00
_cell_angle_gamma 90.00
_symmetry_space_group_name_H-M 'P 4/m m m'
_symmetry_Int_Tables_number 123
_symmetry_space_group_name_Hall '-P 4 2'
loop_
_atom_site_label
_atom_site_fract_x
_atom_site_fract_y
_atom_site_fract_z
Mn1 0.0000 0.0000 0.0000
Al1 0.5000 0.5000 0.5000
P1 0.0000 0.0000 0.5000
S1 0.0000 0.5000 0.0000

***

No. 6
# Y2CdHg2 SCAN single point on PBEsol structure
# ΔE_f, eV per atom: -0.661
# Crystal system: tetragonal
# Fermi-level density of states, states/eV per cell: 5.43
data_Y2CdHg2
_cell_length_a 7.8480
_cell_length_b 7.8480
_cell_length_c 3.9568
_cell_angle_alpha 90.00
_cell_angle_beta 90.00
_cell_angle_gamma 90.00
_symmetry_space_group_name_H-M 'P 4/m b m'
_symmetry_Int_Tables_number 127
_symmetry_space_group_name_Hall '-P 4 2ab'
loop_
_atom_site_label
_atom_site_fract_x
_atom_site_fract_y
_atom_site_fract_z
Y1 0.1685 0.3315 0.0000
Cd1 0.0000 0.0000 0.5000
Hg1 0.1319 0.6319 0.5000

***

No. 7
# SbRhSCl2 SCAN single point on PBEsol structure
# Crystal system: tetragonal
# Formation energy (no corrections), meV/atom: -22
# Fermi-level density of states, states/eV per cell: 3.32
data_SbRhSCl2
_cell_length_a 4.6187
_cell_length_b 4.6187
_cell_length_c 4.6793
_cell_angle_alpha 90.00
_cell_angle_beta 90.00
_cell_angle_gamma 90.00
_symmetry_space_group_name_H-M 'P 4/m m m'
_symmetry_Int_Tables_number 123
_symmetry_space_group_name_Hall '-P 4 2'
loop_
_atom_site_label
_atom_site_fract_x
_atom_site_fract_y
_atom_site_fract_z
Sb1 0.0000 0.0000 0.0000
Rh1 0.5000 0.5000 0.5000
S1 0.5000 0.5000 0.0000
Cl1 0.0000 0.5000 0.5000

***

No. 8
# NaMgCl3 SCAN single point on PBEsol structure
# Crystal system: cubic
# Formation energy (no corrections), meV/atom: -1141
data_NaMgCl3
_cell_length_a 4.9073
_cell_length_b 4.9073
_cell_length_c 4.9073
_cell_angle_alpha 90.00
_cell_angle_beta 90.00
_cell_angle_gamma 90.00
_symmetry_space_group_name_H-M 'P m -3 m'
_symmetry_Int_Tables_number 221
_symmetry_space_group_name_Hall '-P 4 2 3'
loop_
_atom_site_label
_atom_site_fract_x
_atom_site_fract_y
_atom_site_fract_z
Na1 0.0000 0.0000 0.0000
Mg1 0.5000 0.5000 0.5000
Cl1 0.0000 0.0000 0.5000

***

No. 9
# La2MgIr SCAN single point on PBEsol structure
# ΔE_f, eV per atom: -0.458
# Crystal system: tetragonal
# Fermi-level density of states, states/eV per cell: 3.58
data_La2MgIr
_cell_length_a 3.6510
_cell_length_b 3.6510
_cell_length_c 7.8628
_cell_angle_alpha 90.00
_cell_angle_beta 90.00
_cell_angle_gamma 90.00
_symmetry_space_group_name_H-M 'P 4/m m m'
_symmetry_Int_Tables_number 123
_symmetry_space_group_name_Hall '-P 4 2'
loop_
_atom_site_label
_atom_site_fract_x
_atom_site_fract_y
_atom_site_fract_z
La1 0.0000 0.0000 0.2064
Mg1 0.5000 0.5000 0.5000
Ir1 0.5000 0.5000 0.0000

***

No. 10
# Nb2Co2Pd SCAN single point on PBEsol structure
# ΔE_f, eV per atom: -0.164
# Crystal system: tetragonal
# Fermi-level density of states, states/eV per cell: 4.18
data_Nb2Co2Pd
_cell_length_a 6.8276
_cell_length_b 6.8276
_cell_length_c 2.9950
_cell_angle_alpha 90.00
_cell_angle_beta 90.00
_cell_angle_gamma 90.00
_symmetry_space_group_name_H-M 'P 4/m b m'
_symmetry_Int_Tables_number 127
_symmetry_space_group_name_Hall '-P 4 2ab'
loop_
_atom_site_label
_atom_site_fract_x
_atom_site_fract_y
_atom_site_fract_z
Nb1 0.1708 0.3292 0.0000
Co1 0.1305 0.6305 0.5000
Pd1 0.0000 0.0000 0.5000

***

No. 11
# ScAu5 SCAN single point on PBEsol structure
# ΔE_f, eV per atom: -0.489
# Crystal system: hexagonal
# Fermi-level density of states, states/eV per cell: 2.99
data_ScAu5
_cell_length_a 4.9935
_cell_length_b 4.9935
_cell_length_c 4.8039
_cell_angle_alpha 90.00
_cell_angle_beta 90.00
_cell_angle_gamma 120.00
_symmetry_space_group_name_H-M 'P -6 2 m'
_symmetry_Int_Tables_number 189
_symmetry_space_group_name_Hall 'P -6 -2'
loop_
_atom_site_label
_atom_site_fract_x
_atom_site_fract_y
_atom_site_fract_z
Sc1 0.0000 0.0000 0.0000
Au1 0.0000 0.6706 0.5000
Au2 0.3333 0.6667 0.0000

***

No. 12
# KLi2Co SCAN single point on PBEsol structure
# ΔE_f, eV per atom: 0.558
# Crystal system: tetragonal
# Energy above the most stable polymorph in this dataset, eV per atom: 0.090
# Fermi-level density of states, states/eV per cell: 1.77
data_KLi2Co
_cell_length_a 3.2841
_cell_length_b 3.2841
_cell_length_c 8.2483
_cell_angle_alpha 90.00
_cell_angle_beta 90.00
_cell_angle_gamma 90.00
_symmetry_space_group_name_H-M 'P 4 m m'
_symmetry_Int_Tables_number 99
_symmetry_space_group_name_Hall 'P 4 -2'
loop_
_atom_site_label
_atom_site_fract_x
_atom_site_fract_y
_atom_site_fract_z
K1 0.0000 0.0000 0.0000
Li1 0.0000 0.0000 0.5958
Li2 0.5000 0.5000 0.3953
Co1 0.5000 0.5000 0.7089

***

No. 13
# YSc2In SCAN single point on PBEsol structure
# ΔE_f, eV per atom: -0.320
# Crystal system: tetragonal
# Fermi-level density of states, states/eV per cell: 8.83
data_YSc2In
_cell_length_a 4.4669
_cell_length_b 4.4669
_cell_length_c 9.5311
_cell_angle_alpha 90.00
_cell_angle_beta 90.00
_cell_angle_gamma 90.00
_symmetry_space_group_name_H-M 'I -4 m 2'
_symmetry_Int_Tables_number 119
_symmetry_space_group_name_Hall 'I -4 -2'
loop_
_atom_site_label
_atom_site_fract_x
_atom_site_fract_y
_atom_site_fract_z
Y1 0.0000 0.0000 0.0000
Sc1 0.0000 0.0000 0.5000
Sc2 0.0000 0.5000 0.7500
In1 0.0000 0.5000 0.2500

***

The following total DFT energy (no corrections) values (in eV/atom) correspond, in order, to the records above: -22.10; -22.87; -41.28; -24.28; -10.89; -45.15; -19.34; -7.77; -41.03; -26.89; -60.49; -7.04; -22.75.
The following total magnetic moment values (in μB per cell) correspond, in order, to the records above: 0.00; 0.00; 0.00; 0.02; 2.48; 0.00; 0.00; 0.00; 0.00; 0.00; 0.00; 1.78; 0.15.